[1]
Compound: InMoP2
Source: Alexandria
Functional: PBE
Structure: relaxed

Results
total moment	0.00	μB per formula unit
calculated density	6561	kg/m³
E_form	0.444	eV/atom

Unit cell a=3.3488 b=5.1565 c=7.9938 alpha=90.00 beta=90.00 gamma=90.00
Space group Cmm2 (No. 35)
Inequivalent atoms, fractional coordinates:
In  0.0000  0.0000  0.0000 x2
Mo  0.0000  0.5000  0.7095 x2
P  0.0000  0.0000  0.5004 x2
P  0.0000  0.5000  0.2863 x2



[2]
Compound: NaIn10CuS16
Source: Alexandria
Functional: PBE
Structure: relaxed

Results
total moment	0.00	μB per formula unit
calculated density	4409	kg/m³
E_form (uncorrected)	-16.3	eV/f.u.

Unit cell a=7.7079 b=7.7079 c=11.0791 alpha=90.00 beta=90.00 gamma=90.00
Space group P-4m2 (No. 115)
Inequivalent atoms, fractional coordinates:
Na  0.0000  0.0000  0.0000 x1
In  0.0000  0.2681  0.6228 x4
In  0.0000  0.5000  0.2511 x2
In  0.2444  0.5000  0.8576 x4
Cu  0.5000  0.5000  0.5000 x1
S  0.0000  0.2307  0.3838 x4
S  0.0000  0.2707  0.8552 x4
S  0.2502  0.5000  0.6211 x4
S  0.2655  0.5000  0.1132 x4



[3]
Compound: BeAl2Co2
Source: Alexandria
Functional: PBE
Structure: relaxed

Results
excess energy over the best structure of this formula in the dataset	0.00	eV/f.u.
total moment	0.00	μB per formula unit
calculated density	5121	kg/m³
E_form	-0.378	eV/atom

Unit cell a=5.5968 b=5.5968 c=3.7444 alpha=90.00 beta=90.00 gamma=90.00
Space group P4/mbm (No. 127)
Inequivalent atoms, fractional coordinates:
Be  0.0000  0.0000  0.0000 x2
Al  0.1656  0.3344  0.5000 x4
Co  0.1479  0.6479  0.0000 x4



[4]
Compound: Ho2CoH
Source: Alexandria
Functional: PBE
Structure: relaxed

Results
excess energy over the best structure of this formula in the dataset	0.00	eV/f.u.
total moment	0.00	μB per formula unit
calculated density	9035	kg/m³

Unit cell a=3.7214 b=3.7214 c=17.9197 alpha=90.00 beta=90.00 gamma=120.00
Space group R-3m (No. 166, hexagonal axes)
Inequivalent atoms, fractional coordinates:
Ho  0.0000  0.0000  0.2462 x6
Co  0.0000  0.0000  0.0000 x3
H  0.0000  0.0000  0.5000 x3



[5]
Compound: LaUO4
Source: Alexandria
Functional: PBE
Structure: relaxed

Results
total moment	1.00	μB per formula unit
calculated density	8697	kg/m³
E_form (uncorrected)	-20.7	eV/f.u.

Unit cell a=3.9308 b=3.9308 c=18.8740 alpha=90.00 beta=90.00 gamma=120.00
Space group R-3m (No. 166, hexagonal axes)
Inequivalent atoms, fractional coordinates:
La  0.0000  0.0000  0.0000 x3
U  0.0000  0.0000  0.5000 x3
O  0.0000  0.0000  0.1338 x6
O  0.0000  0.0000  0.3861 x6



[6]
Compound: NbTl3Rh
Source: Alexandria
Functional: PBE
Structure: relaxed

Results
excess energy over the best structure of this formula in the dataset	0.00	eV/f.u.
total moment	0.13	μB per formula unit
calculated density	9993	kg/m³
E_form	0.994	eV/atom

Unit cell a=5.1226 b=5.1226 c=5.1226 alpha=90.00 beta=90.00 gamma=90.00
Space group Pm-3m (No. 221)
Inequivalent atoms, fractional coordinates:
Nb  0.0000  0.0000  0.0000 x1
Tl  0.0000  0.5000  0.5000 x3
Rh  0.5000  0.5000  0.5000 x1



Please write out number 2 again, unchanged.
Compound: NaIn10CuS16
Source: Alexandria
Functional: PBE
Structure: relaxed

Results
total moment	0.00	μB per formula unit
calculated density	4409	kg/m³
E_form (uncorrected)	-16.3	eV/f.u.

Unit cell a=7.7079 b=7.7079 c=11.0791 alpha=90.00 beta=90.00 gamma=90.00
Space group P-4m2 (No. 115)
Inequivalent atoms, fractional coordinates:
Na  0.0000  0.0000  0.0000 x1
In  0.0000  0.2681  0.6228 x4
In  0.0000  0.5000  0.2511 x2
In  0.2444  0.5000  0.8576 x4
Cu  0.5000  0.5000  0.5000 x1
S  0.0000  0.2307  0.3838 x4
S  0.0000  0.2707  0.8552 x4
S  0.2502  0.5000  0.6211 x4
S  0.2655  0.5000  0.1132 x4



- The highest total moment belongs to which entry?
  LaUO4